Record 1
First-principles (PBE-GGA) data for a relaxed structure of SmLu2Tl, as listed in Alexandria.

Unit cell a=4.8453 b=4.8453 c=4.7824 alpha=90.00 beta=90.00 gamma=90.00
Space group P4/mmm (No. 123)
Asymmetric unit:
Sm (0.0000, 0.0000, 0.0000) x1
Lu (0.0000, 0.5000, 0.5000) x2
Tl (0.5000, 0.5000, 0.0000) x1

Summary:
Calculated volume (Å³/atom): 28.07
Energy above the lowest structure with this stoichiometry (eV per atom): 0.003
DFT formation energy (meV/atom): -162

***

Record 2
First-principles (PBE-GGA) data for a relaxed structure of Sm2LuTl, as listed in Alexandria.

Unit cell a=5.5234 b=5.5234 c=3.9275 alpha=90.00 beta=90.00 gamma=90.00
Space group P4/mmm (No. 123)
Asymmetric unit:
Sm (0.0000, 0.5000, 0.0000) x2
Lu (0.0000, 0.0000, 0.5000) x1
Tl (0.5000, 0.5000, 0.5000) x1

Summary:
Calculated volume (Å³/atom): 29.95
Energy above the lowest structure with this stoichiometry (eV per atom): 0.042
DFT formation energy (meV/atom): -99

***

Record 3
First-principles (PBE-GGA) data for a relaxed structure of Sm2LuTl, as listed in Alexandria.

Unit cell a=3.5490 b=3.5490 c=36.4560 alpha=90.00 beta=90.00 gamma=120.00
Space group R-3m (No. 166, hexagonal axes)
Asymmetric unit:
Sm (0.0000, 0.0000, 0.0896) x6
Lu (0.0000, 0.0000, 0.5000) x3
Tl (0.0000, 0.0000, 0.0000) x3

Summary:
Calculated volume (Å³/atom): 33.14
Energy above the lowest structure with this stoichiometry (eV per atom): 0.219
DFT formation energy (meV/atom): 78

***

Record 4
First-principles (PBE-GGA) data for a relaxed structure of SmYLuTl, as listed in Alexandria.

Unit cell a=7.7504 b=7.7504 c=7.7504 alpha=90.00 beta=90.00 gamma=90.00
Space group F-43m (No. 216)
Asymmetric unit:
Sm (0.0000, 0.0000, 0.0000) x4
Y (0.0000, 0.0000, 0.5000) x4
Lu (0.2500, 0.2500, 0.2500) x4
Tl (0.2500, 0.2500, 0.7500) x4

Summary:
Calculated volume (Å³/atom): 29.10
DFT formation energy (meV/atom): -62

***

Record 5
First-principles (PBE-GGA) data for a relaxed structure of SmLuTlZn, as listed in Alexandria.

Unit cell a=7.4019 b=7.4019 c=7.4019 alpha=90.00 beta=90.00 gamma=90.00
Space group F-43m (No. 216)
Asymmetric unit:
Sm (0.0000, 0.0000, 0.0000) x4
Lu (0.0000, 0.0000, 0.5000) x4
Tl (0.2500, 0.2500, 0.7500) x4
Zn (0.2500, 0.2500, 0.2500) x4

Summary:
Calculated volume (Å³/atom): 25.35
DFT formation energy (meV/atom): -304

***

Record 6
First-principles (PBE-GGA) data for a relaxed structure of SmTm2Lu, as listed in Alexandria.

Unit cell a=7.9305 b=7.9305 c=7.9305 alpha=90.00 beta=90.00 gamma=90.00
Space group Fm-3m (No. 225)
Asymmetric unit:
Sm (0.0000, 0.0000, 0.0000) x4
Tm (0.2500, 0.2500, 0.2500) x8
Lu (0.0000, 0.0000, 0.5000) x4

Summary:
Calculated volume (Å³/atom): 31.17
Energy above the lowest structure with this stoichiometry (eV per atom): 0.106
DFT formation energy (meV/atom): 136

***

Record 7
First-principles (PBE-GGA) data for a relaxed structure of Sm2TmLu, as listed in Alexandria.

Unit cell a=8.0014 b=8.0014 c=8.0014 alpha=90.00 beta=90.00 gamma=90.00
Space group Fm-3m (No. 225)
Asymmetric unit:
Sm (0.2500, 0.2500, 0.2500) x8
Tm (0.0000, 0.0000, 0.0000) x4
Lu (0.0000, 0.0000, 0.5000) x4

Summary:
Calculated volume (Å³/atom): 32.02
Energy above the lowest structure with this stoichiometry (eV per atom): 0.079
DFT formation energy (meV/atom): 101

***

Record 8
First-principles (PBE-GGA) data for a relaxed structure of Sm2TmLu, as listed in Alexandria.

Unit cell a=3.5561 b=3.5561 c=34.4473 alpha=90.00 beta=90.00 gamma=120.00
Space group R-3m (No. 166, hexagonal axes)
Asymmetric unit:
Sm (0.0000, 0.0000, 0.2504) x6
Tm (0.0000, 0.0000, 0.5000) x3
Lu (0.0000, 0.0000, 0.0000) x3

Summary:
Calculated volume (Å³/atom): 31.44
Energy above the lowest structure with this stoichiometry (eV per atom): 0.000
DFT formation energy (meV/atom): 22

***

Record 9
First-principles (PBE-GGA) data for a relaxed structure of SmTm2Lu, as listed in Alexandria.

Unit cell a=4.9660 b=4.9660 c=4.9820 alpha=90.00 beta=90.00 gamma=90.00
Space group P4/mmm (No. 123)
Asymmetric unit:
Sm (0.0000, 0.0000, 0.0000) x1
Tm (0.0000, 0.5000, 0.5000) x2
Lu (0.5000, 0.5000, 0.0000) x1

Summary:
Calculated volume (Å³/atom): 30.71
Energy above the lowest structure with this stoichiometry (eV per atom): 0.000
DFT formation energy (meV/atom): 29

***

Record 10
First-principles (PBE-GGA) data for a relaxed structure of Sm2TmLu, as listed in Alexandria.

Unit cell a=5.0517 b=5.0517 c=4.9552 alpha=90.00 beta=90.00 gamma=90.00
Space group P4/mmm (No. 123)
Asymmetric unit:
Sm (0.0000, 0.5000, 0.0000) x2
Tm (0.0000, 0.0000, 0.5000) x1
Lu (0.5000, 0.5000, 0.5000) x1

Summary:
Calculated volume (Å³/atom): 31.61
Energy above the lowest structure with this stoichiometry (eV per atom): 0.004
DFT formation energy (meV/atom): 26

***

Record 11
First-principles (PBE-GGA) data for a relaxed structure of Sm2TmLu, as listed in Alexandria.

Unit cell a=3.5626 b=3.5626 c=9.9705 alpha=90.00 beta=90.00 gamma=90.00
Space group P4/mmm (No. 123)
Asymmetric unit:
Sm (0.0000, 0.0000, 0.2490) x2
Tm (0.5000, 0.5000, 0.5000) x1
Lu (0.5000, 0.5000, 0.0000) x1

Summary:
Calculated volume (Å³/atom): 31.64
Energy above the lowest structure with this stoichiometry (eV per atom): 0.004
DFT formation energy (meV/atom): 26

***

Record 12
First-principles (PBE-GGA) data for a relaxed structure of SmTm2Lu, as listed in Alexandria.

Unit cell a=3.5108 b=3.5108 c=9.9845 alpha=90.00 beta=90.00 gamma=90.00
Space group P4/mmm (No. 123)
Asymmetric unit:
Sm (0.0000, 0.0000, 0.0000) x1
Tm (0.5000, 0.5000, 0.2551) x2
Lu (0.0000, 0.0000, 0.5000) x1

Summary:
Calculated volume (Å³/atom): 30.77
Energy above the lowest structure with this stoichiometry (eV per atom): 0.001
DFT formation energy (meV/atom): 30

***

Record 13
First-principles (PBE-GGA) data for a relaxed structure of SmYTmLu, as listed in Alexandria.

Unit cell a=7.9787 b=7.9787 c=7.9787 alpha=90.00 beta=90.00 gamma=90.00
Space group F-43m (No. 216)
Asymmetric unit:
Sm (0.0000, 0.0000, 0.0000) x4
Y (0.0000, 0.0000, 0.5000) x4
Tm (0.2500, 0.2500, 0.7500) x4
Lu (0.2500, 0.2500, 0.2500) x4

Summary:
Calculated volume (Å³/atom): 31.74
DFT formation energy (meV/atom): 112

***

Record 14
First-principles (PBE-GGA) data for a relaxed structure of SmTmLuZr, as listed in Alexandria.

Unit cell a=7.7132 b=7.7132 c=7.7132 alpha=90.00 beta=90.00 gamma=90.00
Space group F-43m (No. 216)
Asymmetric unit:
Sm (0.0000, 0.0000, 0.0000) x4
Tm (0.2500, 0.2500, 0.2500) x4
Lu (0.2500, 0.2500, 0.7500) x4
Zr (0.0000, 0.0000, 0.5000) x4

Summary:
Calculated volume (Å³/atom): 28.68
DFT formation energy (meV/atom): 200

***

Record 15
First-principles (PBE-GGA) data for a relaxed structure of SmLuW4, as listed in Alexandria.

Unit cell a=7.8395 b=7.8395 c=7.8395 alpha=90.00 beta=90.00 gamma=90.00
Space group F-43m (No. 216)
Asymmetric unit:
Sm (0.0000, 0.0000, 0.0000) x4
Lu (0.2500, 0.2500, 0.2500) x4
W (0.1250, 0.1250, 0.6250) x16

Summary:
Calculated volume (Å³/atom): 20.08
DFT formation energy (meV/atom): 176

***

Record 16
First-principles (PBE-GGA) data for a relaxed structure of SmYLu2, as listed in Alexandria.

Unit cell a=5.0120 b=5.0120 c=4.9547 alpha=90.00 beta=90.00 gamma=90.00
Space group P4/mmm (No. 123)
Asymmetric unit:
Sm (0.0000, 0.0000, 0.0000) x1
Y (0.5000, 0.5000, 0.0000) x1
Lu (0.0000, 0.5000, 0.5000) x2

Summary:
Calculated volume (Å³/atom): 31.11
Energy above the lowest structure with this stoichiometry (eV per atom): 0.000
DFT formation energy (meV/atom): 32

***

Record 17
First-principles (PBE-GGA) data for a relaxed structure of Sm2YLu, as listed in Alexandria.

Unit cell a=8.0498 b=8.0498 c=8.0498 alpha=90.00 beta=90.00 gamma=90.00
Space group Fm-3m (No. 225)
Asymmetric unit:
Sm (0.2500, 0.2500, 0.2500) x8
Y (0.0000, 0.0000, 0.0000) x4
Lu (0.0000, 0.0000, 0.5000) x4

Summary:
Calculated volume (Å³/atom): 32.60
Energy above the lowest structure with this stoichiometry (eV per atom): 0.084
DFT formation energy (meV/atom): 108

***

Record 18
First-principles (PBE-GGA) data for a relaxed structure of SmY2Lu, as listed in Alexandria.

Unit cell a=3.5535 b=3.5535 c=10.0994 alpha=90.00 beta=90.00 gamma=90.00
Space group P4/mmm (No. 123)
Asymmetric unit:
Sm (0.0000, 0.0000, 0.0000) x1
Y (0.5000, 0.5000, 0.2549) x2
Lu (0.0000, 0.0000, 0.5000) x1

Summary:
Calculated volume (Å³/atom): 31.88
Energy above the lowest structure with this stoichiometry (eV per atom): 0.000
DFT formation energy (meV/atom): 29

***

Record 19
First-principles (PBE-GGA) data for a relaxed structure of SmY2Lu, as listed in Alexandria.

Unit cell a=3.4910 b=3.4910 c=37.2138 alpha=90.00 beta=90.00 gamma=120.00
Space group R-3m (No. 166, hexagonal axes)
Asymmetric unit:
Sm (0.0000, 0.0000, 0.0000) x3
Y (0.0000, 0.0000, 0.4114) x6
Lu (0.0000, 0.0000, 0.5000) x3

Summary:
Calculated volume (Å³/atom): 32.73
Energy above the lowest structure with this stoichiometry (eV per atom): 0.182
DFT formation energy (meV/atom): 211

***

Record 20
First-principles (PBE-GGA) data for a relaxed structure of Sm2YLu, as listed in Alexandria.

Unit cell a=3.5822 b=3.5822 c=10.0467 alpha=90.00 beta=90.00 gamma=90.00
Space group P4/mmm (No. 123)
Asymmetric unit:
Sm (0.0000, 0.0000, 0.2459) x2
Y (0.5000, 0.5000, 0.5000) x1
Lu (0.5000, 0.5000, 0.0000) x1

Summary:
Calculated volume (Å³/atom): 32.23
Energy above the lowest structure with this stoichiometry (eV per atom): 0.001
DFT formation energy (meV/atom): 24

***

Record 21
First-principles (PBE-GGA) data for a relaxed structure of SmY2Lu, as listed in Alexandria.

Unit cell a=8.0275 b=8.0275 c=8.0275 alpha=90.00 beta=90.00 gamma=90.00
Space group Fm-3m (No. 225)
Asymmetric unit:
Sm (0.0000, 0.0000, 0.0000) x4
Y (0.2500, 0.2500, 0.2500) x8
Lu (0.0000, 0.0000, 0.5000) x4

Summary:
Calculated volume (Å³/atom): 32.33
Energy above the lowest structure with this stoichiometry (eV per atom): 0.109
DFT formation energy (meV/atom): 138

***

Record 22
First-principles (PBE-GGA) data for a relaxed structure of Sm2YLu, as listed in Alexandria.

Unit cell a=3.4935 b=3.4935 c=37.3156 alpha=90.00 beta=90.00 gamma=120.00
Space group R-3m (No. 166, hexagonal axes)
Asymmetric unit:
Sm (0.0000, 0.0000, 0.0903) x6
Y (0.0000, 0.0000, 0.0000) x3
Lu (0.0000, 0.0000, 0.5000) x3

Summary:
Calculated volume (Å³/atom): 32.87
Energy above the lowest structure with this stoichiometry (eV per atom): 0.158
DFT formation energy (meV/atom): 182

***

Record 23
First-principles (PBE-GGA) data for a relaxed structure of Sm2YLu, as listed in Alexandria.

Unit cell a=5.0722 b=5.0722 c=5.0064 alpha=90.00 beta=90.00 gamma=90.00
Space group P4/mmm (No. 123)
Asymmetric unit:
Sm (0.0000, 0.5000, 0.0000) x2
Y (0.0000, 0.0000, 0.5000) x1
Lu (0.5000, 0.5000, 0.5000) x1

Summary:
Calculated volume (Å³/atom): 32.20
Energy above the lowest structure with this stoichiometry (eV per atom): 0.000
DFT formation energy (meV/atom): 24

***

Record 24
First-principles (PBE-GGA) data for a relaxed structure of SmYLu2, as listed in Alexandria.

Unit cell a=4.0491 b=4.0491 c=7.6900 alpha=90.00 beta=90.00 gamma=90.00
Space group P4/mmm (No. 123)
Asymmetric unit:
Sm (0.0000, 0.0000, 0.0000) x1
Y (0.0000, 0.0000, 0.5000) x1
Lu (0.5000, 0.5000, 0.2524) x2

Summary:
Calculated volume (Å³/atom): 31.52
Energy above the lowest structure with this stoichiometry (eV per atom): 0.069
DFT formation energy (meV/atom): 101

***

Record 25
First-principles (PBE-GGA) data for a relaxed structure of SmLu2Zn, as listed in Alexandria.

Unit cell a=3.4986 b=3.4986 c=8.6602 alpha=90.00 beta=90.00 gamma=90.00
Space group P4/mmm (No. 123)
Asymmetric unit:
Sm (0.0000, 0.0000, 0.0000) x1
Lu (0.5000, 0.5000, 0.2982) x2
Zn (0.0000, 0.0000, 0.5000) x1

Summary:
Calculated volume (Å³/atom): 26.50
Energy above the lowest structure with this stoichiometry (eV per atom): 0.000
DFT formation energy (meV/atom): -169

***

Record 26
First-principles (PBE-GGA) data for a relaxed structure of SmLuZn2, as listed in Alexandria.

Unit cell a=7.1451 b=7.1451 c=7.1451 alpha=90.00 beta=90.00 gamma=90.00
Space group Fm-3m (No. 225)
Asymmetric unit:
Sm (0.0000, 0.0000, 0.0000) x4
Lu (0.0000, 0.0000, 0.5000) x4
Zn (0.2500, 0.2500, 0.2500) x8

Summary:
Calculated volume (Å³/atom): 22.80
Energy above the lowest structure with this stoichiometry (eV per atom): 0.000
DFT formation energy (meV/atom): -330

***

Record 27
First-principles (PBE-GGA) data for a relaxed structure of SmLu2Zn, as listed in Alexandria.

Unit cell a=4.7006 b=4.7006 c=4.7299 alpha=90.00 beta=90.00 gamma=90.00
Space group P4/mmm (No. 123)
Asymmetric unit:
Sm (0.0000, 0.0000, 0.0000) x1
Lu (0.0000, 0.5000, 0.5000) x2
Zn (0.5000, 0.5000, 0.0000) x1

Summary:
Calculated volume (Å³/atom): 26.13
Energy above the lowest structure with this stoichiometry (eV per atom): 0.141
DFT formation energy (meV/atom): -27

***

Record 28
First-principles (PBE-GGA) data for a relaxed structure of SmLu2Zn, as listed in Alexandria.

Unit cell a=3.5154 b=3.5154 c=30.5687 alpha=90.00 beta=90.00 gamma=120.00
Space group R-3m (No. 166, hexagonal axes)
Asymmetric unit:
Sm (0.0000, 0.0000, 0.0000) x3
Lu (0.0000, 0.0000, 0.2383) x6
Zn (0.0000, 0.0000, 0.5000) x3

Summary:
Calculated volume (Å³/atom): 27.26
Energy above the lowest structure with this stoichiometry (eV per atom): 0.095
DFT formation energy (meV/atom): -73

***

Record 29
First-principles (PBE-GGA) data for a relaxed structure of SmLuZn2, as listed in Alexandria.

Unit cell a=3.5319 b=3.5319 c=7.2810 alpha=90.00 beta=90.00 gamma=90.00
Space group P4/mmm (No. 123)
Asymmetric unit:
Sm (0.0000, 0.0000, 0.0000) x1
Lu (0.0000, 0.0000, 0.5000) x1
Zn (0.5000, 0.5000, 0.2718) x2

Summary:
Calculated volume (Å³/atom): 22.71
Energy above the lowest structure with this stoichiometry (eV per atom): 0.002
DFT formation energy (meV/atom): -328

***

Record 30
First-principles (PBE-GGA) data for a relaxed structure of SmLu2Zr, as listed in Alexandria.

Unit cell a=4.8373 b=4.8373 c=4.8172 alpha=90.00 beta=90.00 gamma=90.00
Space group P4/mmm (No. 123)
Asymmetric unit:
Sm (0.0000, 0.0000, 0.0000) x1
Lu (0.0000, 0.5000, 0.5000) x2
Zr (0.5000, 0.5000, 0.0000) x1

Summary:
Calculated volume (Å³/atom): 28.18
Energy above the lowest structure with this stoichiometry (eV per atom): 0.016
DFT formation energy (meV/atom): 87

***

Record 31
First-principles (PBE-GGA) data for a relaxed structure of SmLuZr2, as listed in Alexandria.

Unit cell a=4.7171 b=4.7171 c=4.7654 alpha=90.00 beta=90.00 gamma=90.00
Space group P4/mmm (No. 123)
Asymmetric unit:
Sm (0.0000, 0.0000, 0.0000) x1
Lu (0.5000, 0.5000, 0.0000) x1
Zr (0.0000, 0.5000, 0.5000) x2

Summary:
Calculated volume (Å³/atom): 26.51
Energy above the lowest structure with this stoichiometry (eV per atom): 0.000
DFT formation energy (meV/atom): 125